(1)
## CaPm3Y (PBE)

Data for a geometry-optimized CaPm3Y structure.

a b c (Å): 6.1915 6.1915 12.3598
angles (deg): 75.49 75.49 60.00
Atoms (fractional coordinates):
Ca  0.3332  0.3332  0.0003
Ca  0.6667  0.6667  0.9999
Pm  0.0945  0.4170  0.7372
Pm  0.7513  0.0945  0.7372
Pm  0.5830  0.2487  0.2628
Pm  0.2487  0.9055  0.2628
Pm  0.9055  0.5830  0.2628
Pm  0.4170  0.7513  0.7372
Y  0.1664  0.1664  0.5007
Y  0.8336  0.8336  0.4993

Summary:
Symmetry = No. 148
Energy = -4.173 eV per atom
Calculated formation energy = 0.371 eV/atom
Crystal system = trigonal
Density = 4.77 g/cm3
Excess energy over the best structure of this formula in the dataset = 1.631 eV/f.u.
Fermi-level density of states = 1.82 states/eV/atom

(2)
## PmDy4Ho2Tm (PBE)

Data for a geometry-optimized PmDy4Ho2Tm structure.

a b c (Å): 9.4660 9.4660 11.7194
angles (deg): 128.24 128.24 88.74
Each line ends with the local moment (μB).
Atoms (fractional coordinates):
Pm  0.0000  0.5000  0.0000  0.28
Pm  0.0000  0.5000  0.5000  0.28
Dy  0.2502  0.7526  0.0014  0.31
Dy  0.7474  0.2498  0.4986  0.31
Dy  0.2526  0.7502  0.5014  0.31
Dy  0.7498  0.2474  0.9986  0.31
Dy  0.7484  0.7517  0.9991  0.34
Dy  0.7483  0.7516  0.5009  0.34
Dy  0.2517  0.2484  0.4991  0.34
Dy  0.2516  0.2483  0.0009  0.34
Ho  0.5000  0.0000  0.0000  0.28
Ho  0.5000  0.0000  0.5000  0.28
Ho  0.0000  0.0000  0.5000  0.34
Ho  0.5000  0.5000  0.0000  0.34
Tm  0.5000  0.5000  0.5000  0.31
Tm  0.0000  0.0000  0.0000  0.31

Summary:
Symmetry = No. 74
Energy = -4.158 eV per atom
Calculated formation energy = 0.441 eV/atom
Crystal system = orthorhombic
Density = 8.18 g/cm3
Fermi-level density of states = 2.15 states/eV/atom

(3)
## Ac2BSbRh6 (PBE)

Data for a geometry-optimized Ac2BSbRh6 structure.

a b c (Å): 4.7167 4.7167 9.0390
angles (deg): 90.00 90.00 90.00
Atoms (fractional coordinates):
Ac  0.0000  0.0000  0.7353
Ac  0.0000  0.0000  0.2647
B  0.5000  0.5000  0.5000
Sb  0.5000  0.5000  0.0000
Rh  0.5000  0.0000  0.0000
Rh  0.5000  0.0000  0.5000
Rh  0.0000  0.5000  0.0000
Rh  0.0000  0.5000  0.5000
Rh  0.5000  0.5000  0.7174
Rh  0.5000  0.5000  0.2826

Summary:
Raw formation energy = -3.3 eV per formula unit
Symmetry = No. 123
Energy = -6.639 eV per atom
Crystal system = tetragonal
Density = 9.94 g/cm3
Fermi-level density of states = 0.26 states/eV/atom

Q: Look up the density of the third one.
A: 9.94 g/cm3